[1]
First-principles (meta-GGA SCAN) data for Na2TmPWO8 at its PBEsol-relaxed geometry, as listed in Alexandria via LeMat-Bulk.

a b c (Å): 6.783 11.944 18.024
angles (deg): 90.00 90.00 90.00
Space group Ibca (No. 73)
Asymmetric unit:
1 Na 0.006 0.057 0.154
2 Tm 0.250 0.179 0.500
3 P 0.250 0.067 0.000
4 W 0.000 0.250 0.324
5 O 0.040 0.128 0.770
6 O 0.072 0.149 0.006
7 O 0.216 0.227 0.381
8 O 0.242 0.010 0.568

For the density of states at the Fermi level, the calculation gives 0.00 states/eV per cell. For the total magnetization, the calculation gives 0.0 μB per cell. As for the formation energy (no corrections): -2.79 eV/atom.

[2]
First-principles (meta-GGA SCAN) data for OsRuRh at its PBEsol-relaxed geometry, as listed in Alexandria via LeMat-Bulk.

a b c (Å): 2.6795 2.6795 6.5667
angles (deg): 90.00 90.00 120.00
Space group P3m1 (No. 156)
Asymmetric unit:
1 Os 0.0000 0.0000 0.0000
2 Ru 0.6667 0.3333 0.3227
3 Rh 0.3333 0.6667 0.6612

The value obtained for the formation enthalpy at 0 K is 6 kJ/mol of atoms. For the density of states at the Fermi level, the calculation gives 2.81 states/eV per cell. The offset from the most stable computed form is 2 meV per atom. For the total magnetization, the calculation gives 0.0 μB per cell.

[3]
First-principles (meta-GGA SCAN) data for CsSc2Ru at its PBEsol-relaxed geometry, as listed in Alexandria via LeMat-Bulk.

a b c (Å): 3.8266 3.8266 29.9328
angles (deg): 90.00 90.00 120.00
Space group R-3m (No. 166, hexagonal axes)
Asymmetric unit:
1 Cs 0.0000 0.0000 0.0000
2 Sc 0.0000 0.0000 0.1242
3 Ru 0.0000 0.0000 0.5000

The value obtained for the formation enthalpy at 0 K is 11 kJ/mol of atoms. For the density of states at the Fermi level, the calculation gives 12.93 states/eV per cell. For the total magnetization, the calculation gives 0.3 μB per cell.

[4]
First-principles (meta-GGA SCAN) data for BaScAg2 at its PBEsol-relaxed geometry, as listed in Alexandria via LeMat-Bulk.

a b c (Å): 3.585 3.585 7.979
angles (deg): 90.00 90.00 90.00
Space group P4mm (No. 99)
Asymmetric unit:
1 Ba 0.000 0.000 0.000
2 Sc 0.500 0.500 0.373
3 Ag 0.000 0.000 0.547
4 Ag 0.500 0.500 0.720

The value obtained for the formation enthalpy at 0 K is -2 kJ/mol of atoms. For the density of states at the Fermi level, the calculation gives 2.07 states/eV per cell. The offset from the most stable computed form is 190 meV per atom. For the total magnetization, the calculation gives 0.0 μB per cell.